No. 1
Below is an optimized crystal structure of Mg3Zr, with properties calculated at the GGA-PBEsol level.

a = 4.4205 Å, b = 4.4205 Å, c = 4.4205 Å
α = 90.00°, β = 90.00°, γ = 90.00°
With the nearest neighbours (Å) after each atom.
Fractional coordinates of all 4 atoms:
Mg  0.0000  0.0000  0.5000  4 Zr 3.13, 8 Mg 3.13
Mg  0.0000  0.5000  0.0000  4 Zr 3.13, 8 Mg 3.13
Mg  0.5000  0.0000  0.0000  4 Zr 3.13, 8 Mg 3.13
Zr  0.5000  0.5000  0.5000  12 Mg 3.13

Formation enthalpy at 0 K   57 meV/atom
Spin magnetization   0.000 μB per atom
E_tot   -0.2575 Ry/atom



No. 2
Below is an optimized crystal structure of Li2CoSi, with properties calculated at the GGA-PBEsol level.

a = 5.2639 Å, b = 5.2639 Å, c = 5.2639 Å
α = 100.47°, β = 100.47°, γ = 129.53°
With the nearest neighbours (Å) after each atom.
Fractional coordinates of all 8 atoms:
Li  0.1112  0.1250  0.4862  2 Li 2.25, 2 Co 2.38, 2 Si 2.51
Li  0.3750  0.8888  0.0138  2 Li 2.25, 2 Co 2.38, 2 Si 2.51
Li  0.6388  0.6250  0.5138  2 Li 2.25, 2 Co 2.38, 2 Si 2.51
Li  0.8750  0.3612  0.9862  2 Li 2.25, 2 Co 2.38, 2 Si 2.51
Co  0.0000  0.0000  0.0000  2 Si 2.24, 4 Li 2.38
Co  0.7500  0.2500  0.5000  2 Si 2.24, 4 Li 2.38
Si  0.2500  0.7500  0.5000  2 Co 2.24, 4 Li 2.51
Si  0.5000  0.5000  0.0000  2 Co 2.24, 4 Li 2.51

ΔE_f (raw)   0.19 eV/atom
Spin magnetization   0.195 μB per atom
E_tot   -0.3064 Ry/atom



No. 3
Below is an optimized crystal structure of Be2HgPb, with properties calculated at the GGA-PBEsol level.

a = 3.9325 Å, b = 4.8994 Å, c = 4.8994 Å
α = 46.38°, β = 90.00°, γ = 90.00°
With the nearest neighbours (Å) after each atom.
Fractional coordinates of all 4 atoms:
Be  0.0000  0.0000  0.0000  2 Be 2.26
Be  0.5000  0.1228  0.1228  2 Be 2.26
Hg  0.0000  0.7044  0.7044  7 Be 2.66-2.85
Pb  0.5000  0.4132  0.4132  7 Be 2.62-2.86

Formation enthalpy at 0 K   428 meV/atom
Spin magnetization   0.000 μB per atom
E_tot   -0.1994 Ry/atom
Offset from the most stable computed form   0.326 eV/f.u.



No. 4
Below is an optimized crystal structure of Mn2ReOs, with properties calculated at the GGA-PBEsol level.

a = 4.4748 Å, b = 4.4748 Å, c = 4.4748 Å
α = 130.88°, β = 130.88°, γ = 72.01°
With the nearest neighbours (Å) after each atom.
Fractional coordinates of all 4 atoms:
Mn  0.2500  0.7500  0.5000  4 Os 2.60, 4 Re 2.60, 4 Mn 2.63
Mn  0.7500  0.2500  0.5000  4 Os 2.60, 4 Re 2.60, 4 Mn 2.63
Re  0.0000  0.0000  0.0000  8 Mn 2.60, 4 Os 2.63
Os  0.5000  0.5000  0.0000  8 Mn 2.60, 4 Re 2.63

Formation enthalpy at 0 K   85 meV/atom
Spin magnetization   0.397 μB per atom
E_tot   -0.8219 Ry/atom



No. 5
Below is an optimized crystal structure of Mn2BeFeF, with properties calculated at the GGA-PBEsol level.

a = 4.3287 Å, b = 4.3287 Å, c = 3.0959 Å
α = 90.00°, β = 90.00°, γ = 90.00°
With the nearest neighbours (Å) after each atom.
Fractional coordinates of all 5 atoms:
Mn  0.0000  0.5000  0.0000  2 F 2.16
Mn  0.5000  0.0000  0.0000  2 F 2.16
Be  0.0000  0.0000  0.5000  2 F 1.55
Fe  0.5000  0.5000  0.5000  8 Mn 2.66
F  0.0000  0.0000  0.0000  2 Be 1.55

ΔE_f (raw)   0.14 eV/atom
Spin magnetization   1.875 μB per atom
E_tot   -0.4952 Ry/atom



No. 6
Below is an optimized crystal structure of Ir2WBr, with properties calculated at the GGA-PBEsol level.

a = 2.8286 Å, b = 4.4832 Å, c = 4.9853 Å
α = 90.00°, β = 91.07°, γ = 90.00°
With the nearest neighbours (Å) after each atom.
Fractional coordinates of all 4 atoms:
Ir  0.0000  0.0000  0.0000  2 Br 2.45, 1 W 2.75
Ir  0.0339  0.5000  0.3321  2 Br 2.46-2.58, 2 W 2.73
W  0.5647  0.0000  0.4877  8 Ir 2.73-3.04, 2 W 2.83, 2 Br 3.03
Br  0.1543  0.5000  0.8211  4 Ir 2.45-2.58

ΔE_f (raw)   0.68 eV/atom
Spin magnetization   0.000 μB per atom
E_tot   -0.5993 Ry/atom
Offset from the most stable computed form   0.000 eV/f.u.



No. 7
Below is an optimized crystal structure of TmGa3Os, with properties calculated at the GGA-PBEsol level.

a = 6.3050 Å, b = 6.3050 Å, c = 6.3050 Å
α = 90.00°, β = 90.00°, γ = 90.00°
With the nearest neighbours (Å) after each atom.
Fractional coordinates of all 15 atoms:
Tm  0.0000  0.0000  0.5000  10 Ga 2.89-3.15, 4 Os 3.15
Tm  0.0000  0.5000  0.0000  10 Ga 2.89-3.15, 4 Os 3.15
Tm  0.5000  0.0000  0.0000  10 Ga 2.89-3.15, 4 Os 3.15
Ga  0.0000  0.0000  0.0000  8 Ga 3.14, 6 Tm 3.15
Ga  0.2873  0.2873  0.2873  3 Os 2.62, 3 Ga 2.68, 3 Tm 2.89
Ga  0.2873  0.2873  0.7127  3 Os 2.62, 3 Ga 2.68, 3 Tm 2.89
Ga  0.2873  0.7127  0.2873  3 Os 2.62, 3 Ga 2.68, 3 Tm 2.89
Ga  0.2873  0.7127  0.7127  3 Os 2.62, 3 Ga 2.68, 3 Tm 2.89
Ga  0.7127  0.2873  0.2873  3 Os 2.62, 3 Ga 2.68, 3 Tm 2.89
Ga  0.7127  0.2873  0.7127  3 Os 2.62, 3 Ga 2.68, 3 Tm 2.89
Ga  0.7127  0.7127  0.2873  3 Os 2.62, 3 Ga 2.68, 3 Tm 2.89
Ga  0.7127  0.7127  0.7127  3 Os 2.62, 3 Ga 2.68, 3 Tm 2.89
Os  0.0000  0.5000  0.5000  8 Ga 2.62
Os  0.5000  0.0000  0.5000  8 Ga 2.62
Os  0.5000  0.5000  0.0000  8 Ga 2.62

Formation enthalpy at 0 K   -529 meV/atom
Spin magnetization   0.000 μB per atom
E_tot   -0.4377 Ry/atom



No. 8
Below is an optimized crystal structure of CdTe3, with properties calculated at the GGA-PBEsol level.

a = 5.4021 Å, b = 5.4021 Å, c = 3.6030 Å
α = 90.00°, β = 90.00°, γ = 90.00°
With the nearest neighbours (Å) after each atom.
Fractional coordinates of all 4 atoms:
Cd  0.0000  0.0000  0.0000  8 Te 3.25, 2 Cd 3.60
Te  0.0000  0.5000  0.5000  4 Cd 3.25, 6 Te 3.25-3.60
Te  0.5000  0.0000  0.5000  4 Cd 3.25, 6 Te 3.25-3.60
Te  0.5000  0.5000  0.0000  10 Te 3.25-3.60

ΔE_f (raw)   0.14 eV/atom
Spin magnetization   0.000 μB per atom
E_tot   -0.2059 Ry/atom



No. 9
Below is an optimized crystal structure of LaP2Se, with properties calculated at the GGA-PBEsol level.

a = 3.7369 Å, b = 3.7369 Å, c = 6.0459 Å
α = 90.00°, β = 90.00°, γ = 90.00°
With the nearest neighbours (Å) after each atom.
Fractional coordinates of all 4 atoms:
La  0.0000  0.0000  0.0000  1 P 2.78, 4 Se 2.91
P  0.0000  0.0000  0.4599  4 P 2.70, 1 La 2.78
P  0.5000  0.5000  0.3666  1 Se 2.61, 4 P 2.70
Se  0.5000  0.5000  0.7977  1 P 2.61, 4 La 2.91

ΔE_f (raw)   -0.59 eV/atom
Spin magnetization   0.000 μB per atom
E_tot   -0.4254 Ry/atom



No. 10
Below is an optimized crystal structure of ZnAsIr2, with properties calculated at the GGA-PBEsol level.

a = 2.8615 Å, b = 3.8914 Å, c = 5.1635 Å
α = 90.00°, β = 90.00°, γ = 90.00°
With the nearest neighbours (Å) after each atom.
Fractional coordinates of all 4 atoms:
Zn  0.0000  0.0000  0.0000  6 Ir 2.57-2.59, 2 Zn 2.86
As  0.5000  0.5000  0.3223  6 Ir 2.58-2.59, 2 As 2.86
Ir  0.0000  0.0000  0.5024  2 Zn 2.57-2.59, 4 As 2.59, 2 Ir 2.86
Ir  0.5000  0.5000  0.8219  2 As 2.58, 4 Zn 2.58, 2 Ir 2.86

Formation enthalpy at 0 K   8 meV/atom
Spin magnetization   0.000 μB per atom
E_tot   -0.4833 Ry/atom
Offset from the most stable computed form   0.140 eV/f.u.



No. 11
Below is an optimized crystal structure of YHg2PPd, with properties calculated at the GGA-PBEsol level.

a = 5.5605 Å, b = 5.5605 Å, c = 4.9102 Å
α = 90.00°, β = 90.00°, γ = 90.00°
With the nearest neighbours (Å) after each atom.
Fractional coordinates of all 5 atoms:
Y  0.0000  0.0000  0.0000  2 Pd 2.46
Hg  0.0000  0.5000  0.0000  2 Y 2.78
Hg  0.5000  0.0000  0.0000  2 Y 2.78
P  0.5000  0.5000  0.5000  8 Hg 3.71, 4 Pd 3.93
Pd  0.0000  0.0000  0.5000  2 Y 2.46

Formation enthalpy at 0 K   1023 meV/atom
Spin magnetization   0.167 μB per atom
E_tot   -0.2145 Ry/atom



No. 12
Below is an optimized crystal structure of Li2CaPb2, with properties calculated at the GGA-PBEsol level.

a = 8.2417 Å, b = 8.2417 Å, c = 3.4032 Å
α = 90.00°, β = 90.00°, γ = 90.00°
With the nearest neighbours (Å) after each atom.
Fractional coordinates of all 10 atoms:
Li  0.1171  0.3829  0.0000  1 Li 2.73, 6 Pb 2.94-3.00
Li  0.3829  0.8829  0.0000  1 Li 2.73, 6 Pb 2.94-3.00
Li  0.6171  0.1171  0.0000  1 Li 2.73, 6 Pb 2.94-3.00
Li  0.8829  0.6171  0.0000  1 Li 2.73, 6 Pb 2.94-3.00
Ca  0.0000  0.0000  0.0000  4 Li 3.30, 2 Ca 3.40, 8 Pb 3.48
Ca  0.5000  0.5000  0.0000  4 Li 3.30, 2 Ca 3.40, 8 Pb 3.48
Pb  0.1771  0.6771  0.5000  6 Li 2.94-3.00
Pb  0.3229  0.1771  0.5000  6 Li 2.94-3.00
Pb  0.6771  0.8229  0.5000  6 Li 2.94-3.00
Pb  0.8229  0.3229  0.5000  6 Li 2.94-3.00

Formation enthalpy at 0 K   -391 meV/atom
Spin magnetization   0.000 μB per atom
E_tot   -0.2354 Ry/atom
Offset from the most stable computed form   0.000 eV/f.u.



What is the E_tot in the eighth record?
-0.2059 Ry/atom